DFT (PBE with a Hubbard U) results for crystalline Tm2PbWO8 at its relaxed geometry.

Unit cell a=4.9488 b=6.7853 c=4.9519 alpha=90.00 beta=92.36 gamma=90.00
Fractional coordinates of all 12 atoms:
Tm1 0.0000 0.2428 0.0000
Tm2 0.0000 0.7572 0.0000
Pb1 0.5000 0.5000 0.5000
W1 0.5000 0.0000 0.5000
O1 0.1997 0.5000 0.1982
O2 0.2166 0.0000 0.2150
O3 0.3135 0.2151 0.6850
O4 0.3135 0.7849 0.6850
O5 0.6865 0.2151 0.3150
O6 0.6865 0.7849 0.3150
O7 0.7834 0.0000 0.7850
O8 0.8003 0.5000 0.8018

Summary:
* electronic total energy: -7.37 eV/atom
* total magnetization: 0.000 μB/atom